## LiCoPO4 (GGA+U)

Data for a geometry-optimized LiCoPO4 structure.

Cell lengths 5.503, 6.256, 9.188 Å; angles 103.66, 83.77, 103.45 degrees
Sites, in units of the cell vectors:
Li 0.626 0.018 0.243
Li 0.374 0.982 0.757
Li 0.183 0.151 0.415
Li 0.817 0.849 0.585
Co 0.847 0.547 0.287
Co 0.153 0.453 0.713
Co 0.276 0.334 0.086
Co 0.724 0.666 0.914
P 0.197 0.803 0.049
P 0.803 0.197 0.951
P 0.320 0.678 0.423
P 0.680 0.322 0.577
O 0.390 0.664 0.063
O 0.610 0.336 0.937
O 0.930 0.707 0.113
O 0.070 0.293 0.887
O 0.845 0.217 0.120
O 0.155 0.783 0.880
O 0.301 0.045 0.136
O 0.699 0.956 0.864
O 0.127 0.820 0.411
O 0.873 0.180 0.589
O 0.590 0.773 0.365
O 0.410 0.227 0.636
O 0.211 0.438 0.327
O 0.789 0.562 0.673
O 0.663 0.325 0.410
O 0.337 0.675 0.590

- space group = P-1 (2)
- crystal system = triclinic
- total energy (eV per atom) = -6.577